A plane-wave DFT calculation with GGA-PBE was carried out for a relaxed ErPuPt6 crystal.

Values from the calculation:
* crystal system: tetragonal
* energy relative to the elements: -887 meV/atom
* raw total energy: -7.780 eV/atom

The structure in POSCAR format:
```
ErPuPt6
1.0
-1.847 2.594 2.618
-3.220 -2.560 0.265
3.596 -3.866 6.366
Pu Pt Er
1 6 1
Direct
0.000 0.000 0.500 Pu
0.500 0.500 0.000 Pt
0.500 0.500 0.500 Pt
0.500 0.000 0.249 Pt
0.500 0.000 0.751 Pt
0.000 0.500 0.751 Pt
0.000 0.500 0.249 Pt
0.000 0.000 0.000 Er
```